DFT (PBE) results for a relaxed structure of Al2Te2I.

Cell: 8.467 8.467 8.204 Å, 121.07 121.07 90.00°
Fractional coordinates of all 10 atoms:
1 Al 0.410 0.213 0.821
2 Al 0.410 0.607 0.821
3 Al 0.463 0.160 0.321
4 Al 0.857 0.160 0.321
5 Te 0.145 0.397 0.794
6 Te 0.647 0.398 0.294
7 Te 0.648 0.397 0.794
8 Te 0.647 0.895 0.294
9 I 0.316 0.816 0.632
10 I 0.066 0.066 0.132

Summary:
Magnetization ... 0.00 Bohr magnetons per cell
SG ... I4_1md, No. 109
Uncorrected formation energy ... -0.30 eV/atom